Entry from the Alexandria database: crystalline LiTa2Re at its relaxed geometry (PBEsol).

Magnetic moment, μB per formula unit: 0.00
Formation enthalpy at 0 K, kJ per mole of atoms: 17.00

a = 2.6964 Å, b = 4.5123 Å, c = 5.2511 Å
α = 90.00°, β = 99.09°, γ = 90.00°
With the nearest neighbours (Å) after each atom.
Space group Pm (No. 6)
Symmetry-distinct sites (fractional):
1 Li 0.0000 0.0000 0.0000 (multiplicity 1)  2 Li 2.70, 2 Re 2.72, 5 Ta 2.74-2.94
2 Ta 0.2686 0.5000 0.7602 (multiplicity 1)  4 Ta 2.70-2.87, 2 Re 2.73-2.78, 2 Li 2.74
3 Ta 0.5697 0.0000 0.4815 (multiplicity 1)  2 Re 2.67, 4 Ta 2.70-2.87, 3 Li 2.74-2.94
4 Re 0.8093 0.5000 0.2571 (multiplicity 1)  4 Ta 2.67-2.78, 2 Re 2.70, 2 Li 2.72

Entry from the Alexandria database: crystalline CoReBr2 at its relaxed geometry (PBEsol).

Magnetic moment, μB per formula unit: 2.34
Relative energy among the computed polymorphs, meV/atom: 899

a = 4.4800 Å, b = 4.4800 Å, c = 3.0987 Å
α = 90.00°, β = 90.00°, γ = 90.00°
With the nearest neighbours (Å) after each atom.
Space group P4/mmm (No. 123)
Symmetry-distinct sites (fractional):
1 Co 0.0000 0.0000 0.0000 (multiplicity 1)  8 Br 2.72
2 Re 0.5000 0.5000 0.0000 (multiplicity 1)  8 Br 2.72
3 Br 0.0000 0.5000 0.5000 (multiplicity 2)  4 Co 2.72, 4 Re 2.72

What ρ values result from the calculations? In sequence: 14.61, 10.81 g cm⁻³.